This record from Alexandria via LeMat-Bulk describes crystalline BiPIrSN at its relaxed geometry. The functional is PBE-GGA.

The structure in POSCAR format:
```
BiPIrSN
1.0
3.6507 0.0000 0.0000
-1.8253 3.1616 0.0000
0.0000 0.0000 22.5173
Bi S N Ir P
3 3 3 3 3
Cartesian
0.0000 0.0000 2.4278 Bi
0.0000 2.1077 17.4394 Bi
1.8253 1.0539 9.9336 Bi
0.0000 2.1077 12.1197 S
0.0000 0.0000 19.6254 S
1.8253 1.0539 4.6139 S
0.0000 2.1077 8.7512 N
1.8253 1.0539 1.2455 N
0.0000 0.0000 16.2570 N
0.0000 0.0000 6.0532 Ir
1.8253 1.0539 13.5590 Ir
0.0000 2.1077 21.0648 Ir
1.8253 1.0539 22.0546 P
0.0000 0.0000 14.5489 P
0.0000 2.1077 7.0431 P
```

Properties
Total magnetization: 0.0 μB per cell
Raw total energy: -93.80 eV for the cell shown
Formation energy without anion corrections: -0.132 eV/atom
Energy above the lowest structure with this stoichiometry: 0.0214 eV/atom